i:
The following is a PBE-GGA calculation of crystalline Nb2CdBr at its relaxed geometry, from Alexandria.

magnetization = 0.00 μB per atom

Unit cell a=4.7521 b=4.7521 c=4.7521 alpha=60.00 beta=60.00 gamma=60.00
Positions (direct):
Nb1 0.2500 0.2500 0.2500
Nb2 0.7500 0.7500 0.7500
Cd1 0.0000 0.0000 0.0000
Br1 0.5000 0.5000 0.5000

=====

ii:
The following is a PBE-GGA calculation of crystalline Nb2CdBr at its relaxed geometry, from Alexandria.

magnetization = 0.00 μB per atom

Unit cell a=10.8123 b=10.8123 c=10.8123 alpha=158.40 beta=158.40 gamma=30.74
Positions (direct):
Nb1 0.1164 0.6250 0.9914
Nb2 0.3750 0.3664 0.4914
Nb3 0.6336 0.1250 0.0086
Nb4 0.8750 0.8836 0.5086
Cd1 0.0000 0.0000 0.0000
Cd2 0.7500 0.2500 0.5000
Br1 0.2500 0.7500 0.5000
Br2 0.5000 0.5000 0.0000

=====

It comes down to ii, which is 30 meV per atom more stable than the next structure.

=====

i:
The following is a PBE-GGA calculation of crystalline Nd2CdBr at its relaxed geometry, from Alexandria.

magnetization = 0.00 μB per atom

Unit cell a=3.5713 b=3.5713 c=8.7242 alpha=90.00 beta=90.00 gamma=90.00
Positions (direct):
Nd1 0.0000 0.0000 0.2443
Nd2 0.0000 0.0000 0.7557
Cd1 0.5000 0.5000 0.0000
Br1 0.5000 0.5000 0.5000

=====

ii:
The following is a PBE-GGA calculation of crystalline Nd2CdBr at its relaxed geometry, from Alexandria.

magnetization = 0.00 μB per atom

Unit cell a=9.9084 b=9.9084 c=9.9084 alpha=21.86 beta=21.86 gamma=21.86
Positions (direct):
Nd1 0.0000 0.0000 0.0000
Nd2 0.1709 0.1709 0.1709
Cd1 0.4190 0.4190 0.4190
Br1 0.5850 0.5850 0.5850

=====

It comes down to i, which is 31 meV per atom more stable than the next structure.

=====

i:
The following is a PBE-GGA calculation of crystalline CdNi2Br at its relaxed geometry, from Alexandria.

magnetization = 0.30 μB per atom

Unit cell a=7.2102 b=7.2102 c=7.2102 alpha=28.74 beta=28.74 gamma=28.74
Positions (direct):
Cd1 0.0000 0.0000 0.0000
Ni1 0.2559 0.2559 0.2559
Ni2 0.5322 0.5322 0.5322
Br1 0.7986 0.7986 0.7986

=====

ii:
The following is a PBE-GGA calculation of crystalline CdNi2Br at its relaxed geometry, from Alexandria.

magnetization = 0.01 μB per atom

Unit cell a=7.7992 b=7.7992 c=7.7992 alpha=23.50 beta=23.50 gamma=23.50
Positions (direct):
Cd1 0.0000 0.0000 0.0000
Ni1 0.2455 0.2455 0.2455
Ni2 0.7545 0.7545 0.7545
Br1 0.5000 0.5000 0.5000

=====

iii:
The following is a PBE-GGA calculation of crystalline CdNi2Br at its relaxed geometry, from Alexandria.

magnetization = 0.00 μB per atom

Unit cell a=5.1288 b=5.1288 c=3.1848 alpha=106.90 beta=106.90 gamma=108.88
Positions (direct):
Cd1 0.0000 0.0000 0.0000
Ni1 0.0000 0.5000 0.5000
Ni2 0.5000 0.0000 0.5000
Br1 0.5000 0.5000 0.0000

=====

It comes down to i, which is 102 meV per atom more stable than the next structure.